DFT (meta-GGA SCAN) results for a PBEsol-optimized structure of In2CoAg.

Output
**Energy relative to the elements**: 0.30 eV/atom
**Relative energy among the computed polymorphs**: 0.073 eV/atom
**Size of the total moment**: 1.1 μB/cell
**Space-group type**: C2/m (12)
**Electronic total energy**: -28.5592 eV/atom

CIF file:
```
data_In2CoAg
_chemical_formula_sum 'In2 Co1 Ag1'
_space_group_name_H-M_alt 'P 1'
_space_group_IT_number 1
_cell_length_a 3.0487
_cell_length_b 4.5918
_cell_length_c 5.4006
_cell_angle_alpha 101.77
_cell_angle_beta 90.00
_cell_angle_gamma 109.39
loop_
_space_group_symop_operation_xyz
'x,y,z'
loop_
_atom_site_label
_atom_site_type_symbol
_atom_site_fract_x
_atom_site_fract_y
_atom_site_fract_z
Ag1 Ag 0.0000 0.0000 0.5000
In1 In 0.7618 0.5237 0.7711
Co1 Co 0.5000 0.0000 0.0000
In2 In 0.2382 0.4763 0.2289
```


DFT (meta-GGA SCAN) results for a PBEsol-optimized structure of CoAgIr2.

Output
**Energy relative to the elements**: 0.44 eV/atom
**Relative energy among the computed polymorphs**: 0.284 eV/atom
**Size of the total moment**: 3.9 μB/cell
**Space-group type**: P4/mmm (123)
**Electronic total energy**: -47.2758 eV/atom

CIF file:
```
data_CoAgIr2
_chemical_formula_sum 'Co1 Ag1 Ir2'
_space_group_name_H-M_alt 'P 1'
_space_group_IT_number 1
_cell_length_a 3.7811
_cell_length_b 3.7811
_cell_length_c 3.8349
_cell_angle_alpha 90.00
_cell_angle_beta 90.00
_cell_angle_gamma 90.00
loop_
_space_group_symop_operation_xyz
'x,y,z'
loop_
_atom_site_label
_atom_site_type_symbol
_atom_site_fract_x
_atom_site_fract_y
_atom_site_fract_z
Ir1 Ir 0.5000 0.0000 0.0000
Ag1 Ag 0.5000 0.5000 0.5000
Ir2 Ir 0.0000 0.5000 0.0000
Co1 Co 0.0000 0.0000 0.5000
```


DFT (meta-GGA SCAN) results for a PBEsol-optimized structure of CoAgIr2.

Output
**Energy relative to the elements**: 0.16 eV/atom
**Relative energy among the computed polymorphs**: 0.000 eV/atom
**Size of the total moment**: 3.0 μB/cell
**Space-group type**: R-3m (166)
**Electronic total energy**: -47.5600 eV/atom

CIF file:
```
data_CoAgIr2
_chemical_formula_sum 'Co1 Ag1 Ir2'
_space_group_name_H-M_alt 'P 1'
_space_group_IT_number 1
_cell_length_a 2.6896
_cell_length_b 2.6896
_cell_length_c 8.9558
_cell_angle_alpha 81.36
_cell_angle_beta 81.36
_cell_angle_gamma 60.00
loop_
_space_group_symop_operation_xyz
'x,y,z'
loop_
_atom_site_label
_atom_site_type_symbol
_atom_site_fract_x
_atom_site_fract_y
_atom_site_fract_z
Ag1 Ag 0.5000 0.5000 0.5000
Ir1 Ir 0.2576 0.2576 0.2271
Co1 Co 0.0000 0.0000 0.0000
Ir2 Ir 0.7424 0.7424 0.7729
```


DFT (meta-GGA SCAN) results for a PBEsol-optimized structure of CoAg2Ir.

Output
**Energy relative to the elements**: 0.40 eV/atom
**Relative energy among the computed polymorphs**: 0.000 eV/atom
**Size of the total moment**: 2.5 μB/cell
**Space-group type**: Pmmm (47)
**Electronic total energy**: -37.3807 eV/atom

CIF file:
```
data_CoAg2Ir
_chemical_formula_sum 'Co1 Ag2 Ir1'
_space_group_name_H-M_alt 'P 1'
_space_group_IT_number 1
_cell_length_a 2.7612
_cell_length_b 4.4824
_cell_length_c 4.6926
_cell_angle_alpha 90.00
_cell_angle_beta 90.00
_cell_angle_gamma 90.00
loop_
_space_group_symop_operation_xyz
'x,y,z'
loop_
_atom_site_label
_atom_site_type_symbol
_atom_site_fract_x
_atom_site_fract_y
_atom_site_fract_z
Co1 Co 0.5000 0.0000 0.5000
Ag1 Ag 0.5000 0.5000 0.0000
Ir1 Ir 0.0000 0.5000 0.5000
Ag2 Ag 0.0000 0.0000 0.0000
```